Entry 1:
# Th2Si3NiIr4 PBE optimized geometry
# DFT total energy: -81.9 eV for the cell shown
# Formation energy from raw total energies: -0.96 eV per atom
data_Th2Si3NiIr4
_chemical_formula_sum 'Th2 Si3 Ni1 Ir4'
_cell_length_a 4.154
_cell_length_b 4.154
_cell_length_c 10.119
_cell_angle_alpha 90.00
_cell_angle_beta 90.00
_cell_angle_gamma 90.00
_space_group_name_H-M_alt 'P -4 m 2'
_space_group_IT_number 115
_space_group_name_Hall 'P -4 -2'
loop_
_atom_site_label
_atom_site_fract_x
_atom_site_fract_y
_atom_site_fract_z
Th1 0.000 0.500 0.240
Si1 0.000 0.000 0.000
Si2 0.000 0.500 0.628
Ni1 0.500 0.500 0.000
Ir1 0.000 0.000 0.500
Ir2 0.000 0.500 0.864
Ir3 0.500 0.500 0.500

=====

Entry 2:
# Li4NdU3Se8 PBE optimized geometry
# DFT total energy: -284.4 eV for the cell shown
# Formation energy from raw total energies: -1.29 eV per atom
data_Li4NdU3Se8
_chemical_formula_sum 'Li12 Nd3 U9 Se24'
_cell_length_a 8.1481
_cell_length_b 8.1481
_cell_length_c 19.7708
_cell_angle_alpha 90.00
_cell_angle_beta 90.00
_cell_angle_gamma 120.00
_space_group_name_H-M_alt 'R -3 m'
_space_group_IT_number 166
_space_group_name_Hall '-R 3 2"'
loop_
_atom_site_label
_atom_site_fract_x
_atom_site_fract_y
_atom_site_fract_z
Li1 0.0000 0.0000 0.0000
Li2 0.0000 0.5000 0.0000
Nd1 0.0000 0.0000 0.5000
U1 0.0000 0.5000 0.5000
Se1 0.0000 0.0000 0.2528
Se2 0.0064 0.5032 0.7463

=====

Entry 3:
# ReRhS PBE optimized geometry
# DFT total energy: -95.9 eV for the cell shown
# Formation energy from raw total energies: -0.01 eV per atom
data_ReRhS
_chemical_formula_sum 'Re4 Rh4 S4'
_cell_length_a 11.925
_cell_length_b 2.900
_cell_length_c 5.025
_cell_angle_alpha 90.00
_cell_angle_beta 90.00
_cell_angle_gamma 90.00
_space_group_name_H-M_alt 'A m m 2'
_space_group_IT_number 38
_space_group_name_Hall 'A 2 -2'
loop_
_atom_site_label
_atom_site_fract_x
_atom_site_fract_y
_atom_site_fract_z
Re1 0.000 0.000 0.000
Re2 0.500 0.000 0.009
Rh1 0.171 0.000 0.333
S1 0.352 0.000 0.676

=====

Entry 4:
# LiLaZn2Pd2 PBE optimized geometry
# Energy of formation: -585.3 meV per atom
# DFT total energy: -23.3 eV for the cell shown
data_LiLaZn2Pd2
_chemical_formula_sum 'Li1 La1 Zn2 Pd2'
_cell_length_a 4.4033
_cell_length_b 4.4033
_cell_length_c 6.8171
_cell_angle_alpha 90.00
_cell_angle_beta 90.00
_cell_angle_gamma 120.00
_space_group_name_H-M_alt 'P -3 m 1'
_space_group_IT_number 164
_space_group_name_Hall '-P 3 2"'
loop_
_atom_site_label
_atom_site_fract_x
_atom_site_fract_y
_atom_site_fract_z
Li1 0.0000 0.0000 0.0000
La1 0.0000 0.0000 0.5000
Zn1 0.3333 0.6667 0.8372
Pd1 0.3333 0.6667 0.2246